BaHfV2O8 (PBE+U, relaxed); N(E_F) = 0.0 states/eV/f.u.; VASP energy = -8.13 eV/atom; M_tot = 0.00 μB/f.u.
1.0
5.693 0.000 0.000
-2.846 4.930 0.000
0.000 0.000 7.387
V Hf O Ba
2 1 8 1
direct
0.667 0.333 0.251
0.333 0.667 0.749
0.000 0.000 0.500
0.667 0.333 0.025
0.674 0.837 0.676
0.837 0.163 0.324
0.837 0.674 0.324
0.326 0.163 0.324
0.163 0.326 0.676
0.333 0.667 0.975
0.163 0.837 0.676
0.000 0.000 0.000